Record 1
This record from Alexandria via LeMat-Bulk describes crystalline PrSi2Pt7Pb2 at its relaxed geometry. The functional is PBE.

Computed properties:
space-group type: C2/m, No. 12
ρ: 13.173 g/cm3
formation energy (no corrections): -0.559 eV per atom
magnetization: 0.000 μB per formula unit
crystal system: monoclinic

a = 4.0333 Å, b = 4.0333 Å, c = 15.5676 Å
α = 97.21°, β = 97.21°, γ = 90.04°
With the nearest neighbours (Å) after each atom.
Element x y z (fractional)
Pr 0.0000 0.0000 0.0000  12 Pt 2.85-3.07
Si 0.3858 0.3858 0.7640  5 Pt 2.31-2.40
Si 0.6142 0.6142 0.2360  5 Pt 2.31-2.40
Pt 0.0730 0.5729 0.1510  2 Si 2.40
Pt 0.3075 0.3075 0.6131  1 Si 2.31
Pt 0.4271 0.9270 0.8490  2 Si 2.40
Pt 0.5000 0.5000 0.0000  4 Pr 2.85, 8 Pt 3.07
Pt 0.5729 0.0730 0.1510  2 Si 2.40
Pt 0.6925 0.6925 0.3869  1 Si 2.31
Pt 0.9270 0.4271 0.8490  2 Si 2.40
Pb 0.2082 0.2082 0.4190  5 Pt 2.89-2.97
Pb 0.7918 0.7918 0.5810  5 Pt 2.89-2.97

=====

Record 2
This record from Alexandria via LeMat-Bulk describes crystalline PrSmPtPb at its relaxed geometry. The functional is PBE.

Computed properties:
space-group type: F-43m, No. 216
ρ: 10.683 g/cm3
magnetization: 0.000 μB per formula unit
energy of formation from the pure elements: -2.70 eV per formula unit
crystal system: cubic

a = 5.3422 Å, b = 5.3422 Å, c = 5.3422 Å
α = 60.00°, β = 60.00°, γ = 60.00°
With the nearest neighbours (Å) after each atom.
Element x y z (fractional)
Pr 0.0000 0.0000 0.0000  4 Pb 3.27, 4 Pt 3.27
Sm 0.5000 0.5000 0.5000  4 Pb 3.27, 4 Pt 3.27
Pt 0.2500 0.2500 0.2500  4 Pr 3.27, 4 Sm 3.27
Pb 0.7500 0.7500 0.7500  4 Pr 3.27, 4 Sm 3.27

=====

Record 3
This record from Alexandria via LeMat-Bulk describes crystalline PrYPtPb at its relaxed geometry. The functional is PBE.

Computed properties:
space-group type: F-43m, No. 216
ρ: 9.986 g/cm3
magnetization: 0.000 μB per formula unit
energy of formation from the pure elements: -2.79 eV per formula unit
crystal system: cubic

a = 5.2973 Å, b = 5.2973 Å, c = 5.2973 Å
α = 60.00°, β = 60.00°, γ = 60.00°
With the nearest neighbours (Å) after each atom.
Element x y z (fractional)
Pr 0.0000 0.0000 0.0000  4 Pt 3.24, 4 Pb 3.24
Y 0.5000 0.5000 0.5000  4 Pb 3.24, 4 Pt 3.24
Pt 0.2500 0.2500 0.2500  4 Y 3.24, 4 Pr 3.24
Pb 0.7500 0.7500 0.7500  4 Y 3.24, 4 Pr 3.24